Material: PrYIn2
Method: DFT, GGA-PBEsol
State: relaxed

Calculated volume, Å³/atom: 26.74
Energy relative to the elements, meV/atom: -543
Uncorrected energy, eV/f.u.: -20.144

a b c (Å): 7.5356 7.5356 7.5356
angles (deg): 90.00 90.00 90.00
Last column: nearest neighbours and their distance in Å.
Space group Fm-3m (No. 225)
Symmetry-distinct sites (fractional):
Pr (0.0000, 0.0000, 0.0000) (multiplicity 4)  8 In 3.26
Y (0.0000, 0.0000, 0.5000) (multiplicity 4)  8 In 3.26
In (0.2500, 0.2500, 0.2500) (multiplicity 8)  4 Pr 3.26, 4 Y 3.26


Material: In3Pt2
Method: DFT, GGA-PBEsol
State: relaxed

Calculated volume, Å³/atom: 19.73
Energy relative to the elements, meV/atom: -488
Uncorrected energy, eV/f.u.: -25.318

a b c (Å): 4.5380 4.5380 5.5309
angles (deg): 90.00 90.00 120.00
Last column: nearest neighbours and their distance in Å.
Space group P-3m1 (No. 164)
Symmetry-distinct sites (fractional):
In (0.0000, 0.0000, 0.0000) (multiplicity 1)  6 Pt 2.77
In (0.3333, 0.6667, 0.6489) (multiplicity 2)  5 Pt 2.71-2.83
Pt (0.3333, 0.6667, 0.1598) (multiplicity 2)  8 In 2.71-2.83